First-principles (SCAN) data for a crystal of K3C relaxed with PBEsol, as listed in Alexandria via LeMat-Bulk.

Summary:
- E_form (eV/f.u.) = 4.1
- D(E_F) (states/eV per cell) = 3.831

```
data_K3C
_cell_length_a 3.8319
_cell_length_b 5.0998
_cell_length_c 16.4137
_cell_angle_alpha 90.00
_cell_angle_beta 90.00
_cell_angle_gamma 90.00
_space_group_name_H-M_alt 'I m m m'
_space_group_IT_number 71
_space_group_name_Hall '-I 2 2'
loop_
_atom_site_label
_atom_site_fract_x
_atom_site_fract_y
_atom_site_fract_z
K1 0.0000 0.0000 0.0000
K2 0.0000 0.5000 0.1392
C1 0.0000 0.0000 0.5000
```


First-principles (SCAN) data for a crystal of Be2NiTe relaxed with PBEsol, as listed in Alexandria via LeMat-Bulk.

Summary:
- raw formation energy (kJ/mol of atoms) = 44.56

```
data_Be2NiTe
_cell_length_a 5.0039
_cell_length_b 5.0039
_cell_length_c 11.0144
_cell_angle_alpha 90.00
_cell_angle_beta 90.00
_cell_angle_gamma 90.00
_space_group_name_H-M_alt 'I -4 2 d'
_space_group_IT_number 122
_space_group_name_Hall 'I -4 2bw'
loop_
_atom_site_label
_atom_site_fract_x
_atom_site_fract_y
_atom_site_fract_z
Be1 0.1948 0.2500 0.1250
Ni1 0.0000 0.0000 0.0000
Te1 0.0000 0.0000 0.5000
```


First-principles (SCAN) data for a crystal of MgRuPt relaxed with PBEsol, as listed in Alexandria via LeMat-Bulk.

Summary:
- E_form (eV/f.u.) = -0.8
- D(E_F) (states/eV per cell) = 4.028

```
data_MgRuPt
_cell_length_a 2.7286
_cell_length_b 2.7286
_cell_length_c 12.0162
_cell_angle_alpha 90.00
_cell_angle_beta 90.00
_cell_angle_gamma 90.00
_space_group_name_H-M_alt 'I 4 m m'
_space_group_IT_number 107
_space_group_name_Hall 'I 4 -2'
loop_
_atom_site_label
_atom_site_fract_x
_atom_site_fract_y
_atom_site_fract_z
Mg1 0.0000 0.0000 0.0000
Ru1 0.0000 0.0000 0.6730
Pt1 0.0000 0.0000 0.3285
```


First-principles (SCAN) data for a crystal of KTl3 relaxed with PBEsol, as listed in Alexandria via LeMat-Bulk.

Summary:
- E_form (eV/f.u.) = -0.2
- D(E_F) (states/eV per cell) = 4.733

```
data_KTl3
_cell_length_a 6.7660
_cell_length_b 10.8065
_cell_length_c 3.2970
_cell_angle_alpha 90.00
_cell_angle_beta 90.00
_cell_angle_gamma 90.00
_space_group_name_H-M_alt 'C m m m'
_space_group_IT_number 65
_space_group_name_Hall '-C 2 2'
loop_
_atom_site_label
_atom_site_fract_x
_atom_site_fract_y
_atom_site_fract_z
K1 0.0000 0.0000 0.0000
Tl1 0.0000 0.5000 0.0000
Tl2 0.2500 0.2500 0.5000
```


First-principles (SCAN) data for a crystal of KZrCr2 relaxed with PBEsol, as listed in Alexandria via LeMat-Bulk.

Summary:
- E_form (eV/f.u.) = 1.9
- D(E_F) (states/eV per cell) = 3.298

```
data_KZrCr2
_cell_length_a 3.0136
_cell_length_b 3.0136
_cell_length_c 9.2629
_cell_angle_alpha 90.00
_cell_angle_beta 90.00
_cell_angle_gamma 90.00
_space_group_name_H-M_alt 'P 4 m m'
_space_group_IT_number 99
loop_
_space_group_symop_operation_xyz
'x,y,z'
'-y,x,z'
'-x,-y,z'
'y,-x,z'
'-x,y,z'
'y,x,z'
'x,-y,z'
'-y,-x,z'
loop_
_atom_site_label
_atom_site_fract_x
_atom_site_fract_y
_atom_site_fract_z
K1 0.0000 0.0000 0.0000
Zr1 0.5000 0.5000 0.3787
Cr1 0.0000 0.0000 0.5734
Cr2 0.5000 0.5000 0.6953
```


First-principles (SCAN) data for a crystal of CoCuCl2 relaxed with PBEsol, as listed in Alexandria via LeMat-Bulk.

Summary:
- raw formation energy (kJ/mol of atoms) = -26.87

```
data_CoCuCl2
_cell_length_a 3.3340
_cell_length_b 3.3340
_cell_length_c 18.6137
_cell_angle_alpha 90.00
_cell_angle_beta 90.00
_cell_angle_gamma 120.00
_space_group_name_H-M_alt 'R -3 m'
_space_group_IT_number 166
_space_group_name_Hall '-R 3 2"'
loop_
_atom_site_label
_atom_site_fract_x
_atom_site_fract_y
_atom_site_fract_z
Co1 0.0000 0.0000 0.0000
Cu1 0.0000 0.0000 0.5000
Cl1 0.0000 0.0000 0.2536
```